Density functional theory data (PBE+U) for a relaxed structure of Li5Co2O6.

## Properties
As for the total DFT energy (no corrections): -273.9 eV per cell. The total moment comes out at 20.00 μB/cell.

Cell lengths 12.550, 12.681, 3.484 Å; angles 90.00, 90.00, 90.00 degrees
Space group Cmmm (No. 65)
Asymmetric unit:
Li: 0.104 0.217 0.000 x8
Li: 0.171 0.500 0.000 x4
Li: 0.240 0.364 0.500 x8
Co: 0.000 0.385 0.500 x4
Co: 0.110 0.000 0.000 x4
O: 0.000 0.096 0.000 x4
O: 0.096 0.500 0.500 x4
O: 0.106 0.294 0.500 x8
O: 0.209 0.102 0.000 x8